Computed, not measured: a relaxed AgHgHPd2 crystal at the PBE level of DFT.

The structure belongs to space group P4/mmm (No. 123); the cell edges are 4.118, 4.118 and 4.172 Å and the angles 90.00°, 90.00° and 90.00°. Symmetry generates all atoms from Ag at (0.000, 0.000, 0.000), Hg at (0.500, 0.500, 0.000), H at (0.000, 0.000, 0.500) and Pd at (0.000, 0.500, 0.500).

The value obtained for the electronic total energy is -3.497 eV per atom. For the mass density, the calculation gives 12.26 g/cm3.